{"formula": "As2Se4Br3", "functional": "PBE", "state": "optimized geometry", "lattice": [[8.770, -0.572, -0.410], [-0.438, 8.487, -0.909], [-0.438, 1.875, 8.327]], "species": ["Se", "Se", "Se", "Se", "Se", "Se", "Se", "Se", "As", "As", "As", "As", "Br", "Br", "Br", "Br", "Br", "Br"], "frac_coords": [[0.445, 0.918, 0.319], [0.055, 0.681, 0.082], [0.417, 0.632, 0.726], [0.555, 0.082, 0.681], [0.945, 0.319, 0.918], [0.083, 0.274, 0.368], [0.583, 0.368, 0.274], [0.917, 0.726, 0.632], [0.581, 0.838, 0.575], [0.419, 0.162, 0.425], [0.919, 0.425, 0.162], [0.081, 0.575, 0.838], [0.418, 0.269, 0.045], [0.750, 0.455, 0.545], [0.082, 0.955, 0.731], [0.250, 0.545, 0.455], [0.582, 0.731, 0.955], [0.918, 0.045, 0.269]], "raw_formation_energy_ev_per_atom": -0.07, "dos_at_fermi_per_ev_atom": 0.317, "total_magnetization_mub_per_cell": 0.000}